Below is an optimized crystal structure of TbCuOs, with properties calculated at the GGA-PBE level.

Properties
As for the density of states at the Fermi level: 0.398 states/eV per atom. The energy of formation is -0.252 eV/atom. The energy relative to the lowest polymorph listed for this composition is 0 meV per atom. The calculation puts the density at 13058 kg/m3. The total DFT energy (no corrections) comes out at -6.90 eV/atom.

Cell: 5.1749 5.2095 7.7869 Å, 90.00 90.00 90.00°
Space group Imma (No. 74)
Asymmetric unit:
Tb  0.0000  0.2500  0.1196 [4 per cell]
Cu  0.0000  0.0000  0.5000 [4 per cell]
Os  0.2500  0.2500  0.7500 [4 per cell]



Below is an optimized crystal structure of Tb3CuOs, with properties calculated at the GGA-PBE level.

Properties
As for the density of states at the Fermi level: 0.859 states/eV per atom. The energy of formation is -0.224 eV/atom. The calculation puts the density at 10264 kg/m3. The total DFT energy (no corrections) comes out at -6.07 eV/atom.

Cell: 7.5453 4.1749 8.0695 Å, 90.00 111.58 90.00°
Space group P2_1/m (No. 11)
Asymmetric unit:
Tb  0.0950  0.2500  0.2236 [2 per cell]
Tb  0.3164  0.2500  0.9315 [2 per cell]
Tb  0.3801  0.7500  0.5997 [2 per cell]
Cu  0.0506  0.2500  0.5764 [2 per cell]
Os  0.3557  0.7500  0.1963 [2 per cell]



Below is an optimized crystal structure of TbTmCuOs, with properties calculated at the GGA-PBE level.

Properties
As for the density of states at the Fermi level: 0.630 states/eV per atom. The energy of formation is -0.279 eV/atom. The calculation puts the density at 12116 kg/m3. The total DFT energy (no corrections) comes out at -6.39 eV/atom.

Cell: 6.8318 6.8318 6.8318 Å, 90.00 90.00 90.00°
Space group F-43m (No. 216)
Asymmetric unit:
Tb  0.0000  0.0000  0.0000 [4 per cell]
Tm  0.0000  0.0000  0.5000 [4 per cell]
Cu  0.2500  0.2500  0.7500 [4 per cell]
Os  0.2500  0.2500  0.2500 [4 per cell]



Ordered M_tot results: 0.00, 0.00, 0.00; unit μB/f.u..